No. 1
Below is a geometry-optimized LiLaPmDy structure, with properties calculated at the PBE level.

The structure belongs to space group F-43m (No. 216); the cell edges are 7.961, 7.961 and 7.961 Å and the angles 90.00°, 90.00° and 90.00°. The asymmetric unit holds Li at (0.000, 0.000, 0.000), La at (0.250, 0.250, 0.750), Pm at (0.000, 0.000, 0.500) and Dy at (0.250, 0.250, 0.250).



No. 2
Below is a geometry-optimized InGaSn5 structure, with properties calculated at the PBE level.

The structure belongs to space group P4/mmm (No. 123); the cell edges are 4.692, 4.692 and 8.734 Å and the angles 90.00°, 90.00° and 90.00°. The asymmetric unit holds In at (0.000, 0.000, 0.000), Ga at (0.000, 0.000, 0.500), Sn at (0.000, 0.500, 0.285) and Sn at (0.500, 0.500, 0.000).



Calculated M_tot (μB/cell), listed in the same order as above: 0.00; 0.00
Calculated formation energy from the elements (eV per atom), listed in the same order as above: 0.193; 0.061